DFT (PBE-GGA) results for InSbO4 after structural relaxation. Values from VASP.

Cell and atoms, written as Quantum ESPRESSO input:
```
&SYSTEM
  ibrav = 0, nat = 24, ntyp = 3
/
ATOMIC_SPECIES
O 16.00 O.upf
In 114.82 In.upf
Sb 121.76 Sb.upf
ATOMIC_POSITIONS crystal
O 0.577 0.807 0.567
O 0.897 0.064 0.322
O 0.923 0.307 0.567
O 0.070 0.186 0.900
O 0.397 0.436 0.678
O 0.945 0.603 0.808
O 0.103 0.936 0.678
O 0.077 0.693 0.433
O 0.930 0.814 0.100
O 0.445 0.897 0.192
O 0.423 0.193 0.433
O 0.570 0.314 0.100
O 0.055 0.397 0.192
O 0.603 0.564 0.322
O 0.430 0.686 0.900
O 0.555 0.103 0.808
In 0.243 0.143 0.159
In 0.257 0.643 0.159
In 0.757 0.857 0.841
In 0.743 0.357 0.841
Sb 0.248 0.185 0.669
Sb 0.748 0.315 0.331
Sb 0.252 0.685 0.669
Sb 0.752 0.815 0.331
CELL_PARAMETERS angstrom
5.316 0.000 0.000
0.000 7.534 0.018
0.000 1.447 7.478
```

Formation energy without anion corrections in eV/f.u.: -8.94
DFT total energy in eV/f.u.: -35.63
Magnetization in μB per cell: 0.0